Entry P
Material: NaDy2Tm
Method: DFT, GGA-PBE
State: optimized geometry

Structure (CIF):
```
data_NaDy2Tm
_chemical_formula_sum 'Na1 Dy2 Tm1'
_space_group_name_H-M_alt 'P 4/m m m'
_space_group_IT_number 123
_space_group_name_Hall '-P 4 2'
_cell_length_a 3.501
_cell_length_b 3.501
_cell_length_c 10.524
_cell_angle_alpha 90.00
_cell_angle_beta 90.00
_cell_angle_gamma 90.00
loop_
_atom_site_label
_atom_site_type_symbol
_atom_site_fract_x
_atom_site_fract_y
_atom_site_fract_z
Na1 Na 0.000 0.000 0.000
Dy1 Dy 0.500 0.500 0.271
Tm1 Tm 0.000 0.000 0.500
```

***

Entry Q
Material: NaDy2Tm
Method: DFT, GGA-PBE
State: optimized geometry

Structure (CIF):
```
data_NaDy2Tm
_chemical_formula_sum 'Na3 Dy6 Tm3'
_space_group_name_H-M_alt 'R -3 m'
_space_group_IT_number 166
_space_group_name_Hall '-R 3 2"'
_cell_length_a 3.4781
_cell_length_b 3.4781
_cell_length_c 37.8038
_cell_angle_alpha 90.00
_cell_angle_beta 90.00
_cell_angle_gamma 120.00
loop_
_atom_site_label
_atom_site_type_symbol
_atom_site_fract_x
_atom_site_fract_y
_atom_site_fract_z
Na1 Na 0.0000 0.0000 0.0000
Dy1 Dy 0.0000 0.0000 0.0927
Tm1 Tm 0.0000 0.0000 0.5000
```

***

What should be chosen as the most stable of them? Choose entry P.